[1]
The following is a GGA-PBEsol calculation of a geometry-optimized LiCrRe2Br structure, from the Alexandria database.

Unit cell a=4.386 b=4.386 c=5.521 alpha=90.00 beta=90.00 gamma=90.00
Space group P4/mmm (No. 123)
Asymmetric unit:
Li 0.000 0.000 0.000 [1 per cell]
Cr 0.000 0.000 0.500 [1 per cell]
Re 0.000 0.500 0.500 [2 per cell]
Br 0.500 0.500 0.000 [1 per cell]

ΔE_f (raw)   158.93 kJ per mole of atoms


[2]
The following is a GGA-PBEsol calculation of a geometry-optimized Ta2CoPt structure, from the Alexandria database.

Unit cell a=2.772 b=2.772 c=7.674 alpha=90.00 beta=90.00 gamma=90.00
Space group P4/mmm (No. 123)
Asymmetric unit:
Ta 0.000 0.000 0.231 [2 per cell]
Co 0.500 0.500 0.000 [1 per cell]
Pt 0.500 0.500 0.500 [1 per cell]

Energy of formation from the pure elements   -39.03 kJ/mol of atoms


| no. | uncorrected energy (eV per atom) |
| --- | --- |
| 1 | -6.501 |
| 2 | -10.355 |